Entry 1:
Below is a relaxed structure of Ac6TlIr2Br3, with properties calculated at the PBE level.

```
data_Ac6TlIr2Br3
_chemical_formula_sum 'Ac12 Tl2 Ir4 Br6'
_space_group_name_H-M_alt 'C 1 2/m 1'
_space_group_IT_number 12
_cell_length_a 21.092
_cell_length_b 4.426
_cell_length_c 9.797
_cell_angle_alpha 90.00
_cell_angle_beta 107.98
_cell_angle_gamma 90.00
loop_
_space_group_symop_operation_xyz
'x,y,z'
'-x,-y,-z'
'-x,y,-z'
'x,-y,z'
'x+1/2,y+1/2,z'
'-x+1/2,-y+1/2,-z'
'-x+1/2,y+1/2,-z'
'x+1/2,-y+1/2,z'
loop_
_atom_site_label
_atom_site_type_symbol
_atom_site_fract_x
_atom_site_fract_y
_atom_site_fract_z
Ac1 Ac 0.024 0.000 0.260
Ac2 Ac 0.165 0.500 0.131
Ac3 Ac 0.182 0.500 0.557
Tl1 Tl 0.000 0.500 0.000
Ir1 Ir 0.170 0.000 0.342
Br1 Br 0.000 0.500 0.500
Br2 Br 0.166 0.000 0.847
```

## Properties
The value obtained for the total magnetization is 0.00 μB/cell. The value obtained for the formation energy from raw total energies is -1.047 eV/atom.



Entry 2:
Below is a relaxed structure of Sc4CuI5, with properties calculated at the PBE level.

```
data_Sc4CuI5
_chemical_formula_sum 'Sc8 Cu2 I10'
_space_group_name_H-M_alt 'C 1 2/m 1'
_space_group_IT_number 12
_cell_length_a 18.658
_cell_length_b 3.951
_cell_length_c 8.441
_cell_angle_alpha 90.00
_cell_angle_beta 102.56
_cell_angle_gamma 90.00
loop_
_space_group_symop_operation_xyz
'x,y,z'
'-x,-y,-z'
'-x,y,-z'
'x,-y,z'
'x+1/2,y+1/2,z'
'-x+1/2,-y+1/2,-z'
'-x+1/2,y+1/2,-z'
'x+1/2,-y+1/2,z'
loop_
_atom_site_label
_atom_site_type_symbol
_atom_site_fract_x
_atom_site_fract_y
_atom_site_fract_z
Sc1 Sc 0.001 0.000 0.204
Sc2 Sc 0.138 0.500 0.070
Cu1 Cu 0.000 0.500 0.000
I1 I 0.000 0.500 0.500
I2 I 0.165 0.000 0.335
I3 I 0.172 0.000 0.833
```

## Properties
The value obtained for the total magnetization is 0.00 μB/cell. The value obtained for the formation energy from raw total energies is -0.852 eV/atom.



Entry 3:
Below is a relaxed structure of Zr6ScTl, with properties calculated at the PBE level.

```
data_Zr6ScTl
_chemical_formula_sum 'Zr12 Sc2 Tl2'
_space_group_name_H-M_alt 'A m m 2'
_space_group_IT_number 38
_cell_length_a 5.206
_cell_length_b 6.401
_cell_length_c 11.086
_cell_angle_alpha 90.00
_cell_angle_beta 90.00
_cell_angle_gamma 90.00
loop_
_space_group_symop_operation_xyz
'x,y,z'
'-x,-y,z'
'-x,y,z'
'x,-y,z'
'x,y+1/2,z+1/2'
'-x,-y+1/2,z+1/2'
'-x,y+1/2,z+1/2'
'x,-y+1/2,z+1/2'
loop_
_atom_site_label
_atom_site_type_symbol
_atom_site_fract_x
_atom_site_fract_y
_atom_site_fract_z
Zr1 Zr 0.000 0.000 0.000
Zr2 Zr 0.000 0.247 0.248
Zr3 Zr 0.500 0.000 0.665
Zr4 Zr 0.500 0.249 0.416
Sc1 Sc 0.000 0.000 0.499
Tl1 Tl 0.500 0.000 0.166
```

## Properties
The value obtained for the formation energy is -0.041 eV per atom. The value obtained for the total magnetization is 0.00 μB/cell.



Entry 4:
Below is a relaxed structure of La8Y3Er2, with properties calculated at the PBE level.

```
data_La8Y3Er2
_chemical_formula_sum 'La16 Y6 Er4'
_space_group_name_H-M_alt 'C 1 2/m 1'
_space_group_IT_number 12
_cell_length_a 20.558
_cell_length_b 7.764
_cell_length_c 5.850
_cell_angle_alpha 90.00
_cell_angle_beta 90.03
_cell_angle_gamma 90.00
loop_
_space_group_symop_operation_xyz
'x,y,z'
'-x,-y,-z'
'-x,y,-z'
'x,-y,z'
'x+1/2,y+1/2,z'
'-x+1/2,-y+1/2,-z'
'-x+1/2,y+1/2,-z'
'x+1/2,-y+1/2,z'
loop_
_atom_site_label
_atom_site_type_symbol
_atom_site_fract_x
_atom_site_fract_y
_atom_site_fract_z
La1 La 0.106 0.200 0.000
La2 La 0.132 0.500 0.499
La3 La 0.176 0.000 0.501
Y1 Y 0.000 0.217 0.500
Y2 Y 0.000 0.500 0.000
Er1 Er 0.240 0.500 0.999
```

## Properties
The value obtained for the formation energy is 0.179 eV per atom. The value obtained for the total magnetization is 0.00 μB/cell. The value obtained for the energy above the most stable polymorph in this dataset is 40 meV per atom.



Entry 5:
Below is a relaxed structure of LiZnCoNi, with properties calculated at the PBE level.

```
data_LiZnCoNi
_chemical_formula_sum 'Li4 Zn4 Co4 Ni4'
_space_group_name_H-M_alt 'F -4 3 m'
_space_group_IT_number 216
_space_group_name_Hall 'F -4 2 3'
_cell_length_a 5.720
_cell_length_b 5.720
_cell_length_c 5.720
_cell_angle_alpha 90.00
_cell_angle_beta 90.00
_cell_angle_gamma 90.00
loop_
_atom_site_label
_atom_site_type_symbol
_atom_site_fract_x
_atom_site_fract_y
_atom_site_fract_z
Li1 Li 0.000 0.000 0.000
Zn1 Zn 0.250 0.250 0.750
Co1 Co 0.250 0.250 0.250
Ni1 Ni 0.000 0.000 0.500
```

## Properties
The value obtained for the formation energy is 0.012 eV per atom. The value obtained for the total magnetization is 6.47 μB/cell.



Entry 6:
Below is a relaxed structure of ZrAlOs2, with properties calculated at the PBE level.

```
data_ZrAlOs2
_chemical_formula_sum 'Zr3 Al3 Os6'
_space_group_name_H-M_alt 'R 3 m'
_space_group_IT_number 160
_space_group_name_Hall 'R 3 -2"'
_cell_length_a 2.8491
_cell_length_b 2.8491
_cell_length_c 27.9515
_cell_angle_alpha 90.00
_cell_angle_beta 90.00
_cell_angle_gamma 120.00
loop_
_atom_site_label
_atom_site_type_symbol
_atom_site_fract_x
_atom_site_fract_y
_atom_site_fract_z
Zr1 Zr 0.0000 0.0000 0.0000
Al1 Al 0.0000 0.0000 0.2403
Os1 Os 0.0000 0.0000 0.4979
Os2 Os 0.0000 0.0000 0.7574
```

## Properties
The value obtained for the formation energy is 0.083 eV per atom. The value obtained for the total magnetization is 0.00 μB/cell.